# 1
The following is a GGA-PBEsol calculation of a relaxed Tb2ReB6 crystal, from the Alexandria database.

Output
Total DFT energy (no corrections) = -286.1 eV/cell
Formation enthalpy at 0 K = -0.6751 eV per atom
Mass density = 9.802 g cm⁻³

CIF file:
```
data_Tb2ReB6
_chemical_formula_sum 'Tb8 Re4 B24'
_cell_length_a 9.151
_cell_length_b 11.521
_cell_length_c 3.657
_cell_angle_alpha 90.00
_cell_angle_beta 90.00
_cell_angle_gamma 90.00
_space_group_name_H-M_alt 'P b a m'
_space_group_IT_number 55
_space_group_name_Hall '-P 2 2ab'
loop_
_atom_site_label
_atom_site_fract_x
_atom_site_fract_y
_atom_site_fract_z
Tb1 0.058 0.130 0.000
Tb2 0.177 0.414 0.000
Re1 0.138 0.679 0.000
B1 0.018 0.288 0.500
B2 0.053 0.567 0.500
B3 0.100 0.972 0.500
B4 0.130 0.814 0.500
B5 0.209 0.234 0.500
B6 0.248 0.581 0.500
```

---

# 2
The following is a GGA-PBEsol calculation of a relaxed SnTe2Pt crystal, from the Alexandria database.

Output
Total DFT energy (no corrections) = -73.4 eV/cell
Formation energy without anion corrections = -0.0210 eV per atom
Mass density = 7.458 g cm⁻³

CIF file:
```
data_SnTe2Pt
_chemical_formula_sum 'Sn4 Te8 Pt4'
_cell_length_a 6.311
_cell_length_b 6.311
_cell_length_c 12.722
_cell_angle_alpha 90.00
_cell_angle_beta 90.00
_cell_angle_gamma 90.00
_space_group_name_H-M_alt 'I -4 2 d'
_space_group_IT_number 122
_space_group_name_Hall 'I -4 2bw'
loop_
_atom_site_label
_atom_site_fract_x
_atom_site_fract_y
_atom_site_fract_z
Sn1 0.000 0.000 0.000
Te1 0.204 0.250 0.625
Pt1 0.000 0.000 0.500
```

---

# 3
The following is a GGA-PBEsol calculation of a relaxed IrAuBr2 crystal, from the Alexandria database.

Output
Total DFT energy (no corrections) = -45.3 eV/cell
Formation energy without anion corrections = 0.5928 eV per atom
Mass density = 11.040 g cm⁻³
Offset from the most stable computed form = 23.2 kJ per mole of atoms

CIF file:
```
data_IrAuBr2
_chemical_formula_sum 'Ir3 Au3 Br6'
_cell_length_a 3.6728
_cell_length_b 3.6728
_cell_length_c 21.2058
_cell_angle_alpha 90.00
_cell_angle_beta 90.00
_cell_angle_gamma 120.00
_space_group_name_H-M_alt 'R -3 m'
_space_group_IT_number 166
_space_group_name_Hall '-R 3 2"'
loop_
_atom_site_label
_atom_site_fract_x
_atom_site_fract_y
_atom_site_fract_z
Ir1 0.0000 0.0000 0.0000
Au1 0.0000 0.0000 0.5000
Br1 0.0000 0.0000 0.2680
```

---

What did the third record say?
The following is a GGA-PBEsol calculation of a relaxed IrAuBr2 crystal, from the Alexandria database.

Output
Total DFT energy (no corrections) = -45.3 eV/cell
Formation energy without anion corrections = 0.5928 eV per atom
Mass density = 11.040 g cm⁻³
Offset from the most stable computed form = 23.2 kJ per mole of atoms

CIF file:
```
data_IrAuBr2
_chemical_formula_sum 'Ir3 Au3 Br6'
_cell_length_a 3.6728
_cell_length_b 3.6728
_cell_length_c 21.2058
_cell_angle_alpha 90.00
_cell_angle_beta 90.00
_cell_angle_gamma 120.00
_space_group_name_H-M_alt 'R -3 m'
_space_group_IT_number 166
_space_group_name_Hall '-R 3 2"'
loop_
_atom_site_label
_atom_site_fract_x
_atom_site_fract_y
_atom_site_fract_z
Ir1 0.0000 0.0000 0.0000
Au1 0.0000 0.0000 0.5000
Br1 0.0000 0.0000 0.2680
```

---

Question: What is the mass density in the second record?
Answer: 7.458 g cm⁻³

---

Question: Which of these has the highest total DFT energy (no corrections)?
Answer: IrAuBr2

---

Question: Among the records above, which one has the lowest total DFT energy (no corrections)?
Answer: Tb2ReB6